Entry from the Alexandria database: LiReS2Cl after structural relaxation (PBE-GGA).

```
LiReS2Cl
1.0
-1.1681 1.1423 4.0039
-2.3560 -3.6100 0.3426
3.3504 -2.0387 1.5591
Re S Li Cl
1 2 1 1
Direct
0.5000 0.5000 0.5000
0.0000 0.5000 0.0000
0.5000 0.0000 0.0000
0.0000 0.0000 0.0000
0.0000 0.0000 0.5000
```

Summary:
- Raw formation energy: 5.050 eV per formula unit
- Space-group type: P4/mmm (123)
- Density of states at the Fermi level: 1.378 states/eV per atom
- Calculated volume: 78.92 Å³ per cell
- E: -3.88 eV per atom